Entry 1:
A geometry-optimized SmSi3Os structure. Source: the Open Quantum Materials Database, functional GGA-PBE.

```
SmSi3Os
1.0
-2.1144 2.1144 4.9626
2.1144 -2.1144 4.9626
2.1144 2.1144 -4.9626
Sm Si Os
1 3 1
direct
0.0000 0.0000 0.0000
0.2626 0.7626 0.5000
0.4195 0.4195 0.0000
0.7626 0.2626 0.5000
0.6553 0.6553 0.0000
```

## Properties
The calculation puts the energy at -7.066 eV/atom. The total magnetic moment comes out at 0.001 Bohr magnetons per cell.

---

Entry 2:
A geometry-optimized SrSmSi2Os2 structure. Source: the Open Quantum Materials Database, functional GGA-PBE.

```
SrSmSi2Os2
1.0
4.2484 0.0000 0.0000
0.0000 4.2484 0.0000
0.0000 0.0000 7.2106
Sr Sm Si Os
1 1 2 2
direct
0.0000 0.0000 0.0000
0.5000 0.5000 0.6395
0.0000 0.0000 0.5093
0.5000 0.5000 0.1779
0.0000 0.5000 0.3447
0.5000 0.0000 0.3447
```

## Properties
The calculation puts the energy at -7.113 eV/atom. The total magnetic moment comes out at 0.021 Bohr magnetons per cell.